Ac2ScNiO6: relaxed, PBE+U.

CIF file:
```
data_Ac2ScNiO6
_cell_length_a 5.6650
_cell_length_b 5.5778
_cell_length_c 8.3311
_cell_angle_alpha 90.00
_cell_angle_beta 88.75
_cell_angle_gamma 90.00
_space_group_name_H-M_alt 'P 1'
_space_group_IT_number 1
loop_
_space_group_symop_operation_xyz
'x,y,z'
loop_
_atom_site_label
_atom_site_type_symbol
_atom_site_fract_x
_atom_site_fract_y
_atom_site_fract_z
Ac1 Ac 0.0057 0.9921 0.2533
Ac2 Ac 0.5057 0.5079 0.7533
Ac3 Ac 0.9943 0.0079 0.7467
Ac4 Ac 0.4943 0.4921 0.2467
Sc1 Sc 0.5000 0.0000 0.5000
Sc2 Sc 0.0000 0.5000 0.0000
Ni1 Ni 0.5000 0.0000 0.0000
Ni2 Ni 0.0000 0.5000 0.5000
O1 O 0.2714 0.7492 0.0356
O2 O 0.7714 0.7508 0.5356
O3 O 0.7286 0.2508 0.9644
O4 O 0.2286 0.2492 0.4644
O5 O 0.2473 0.7318 0.4637
O6 O 0.7473 0.7682 0.9637
O7 O 0.7527 0.2682 0.5363
O8 O 0.2527 0.2318 0.0363
O9 O 0.9344 0.5030 0.2460
O10 O 0.4344 0.9970 0.7460
O11 O 0.0656 0.4970 0.7540
O12 O 0.5656 0.0030 0.2540
```

## Properties
Uncorrected energy = -149.4 eV per cell